[1]
Compound: NbAl2Cu
Source: Alexandria
Functional: PBE
Structure: relaxed

- Crystal system: trigonal
- DOS(E_F): 6.157 states/eV/cell
- Symmetry: R-3m, No. 166
- Formation enthalpy at 0 K: -0.084 eV per atom

abc: 4.0449 4.0449 13.3413
angles: 90.00 90.00 120.00
With the nearest neighbours (Å) after each atom.
Positions (direct):
Nb: 0.0000 0.0000 0.0000  8 Al 2.77-2.96
Nb: 0.3333 0.6667 0.6667  8 Al 2.77-2.96
Nb: 0.6667 0.3333 0.3333  8 Al 2.77-2.96
Al: 0.0000 0.0000 0.2215  3 Cu 2.45
Al: 0.0000 0.0000 0.7785  3 Cu 2.45
Al: 0.3333 0.6667 0.4451  3 Cu 2.45
Al: 0.3333 0.6667 0.8882  3 Cu 2.45
Al: 0.6667 0.3333 0.1118  3 Cu 2.45
Al: 0.6667 0.3333 0.5549  3 Cu 2.45
Cu: 0.0000 0.0000 0.5000  6 Al 2.45
Cu: 0.3333 0.6667 0.1667  6 Al 2.45
Cu: 0.6667 0.3333 0.8333  6 Al 2.45



[2]
Compound: BaAl4Cl
Source: Alexandria
Functional: PBE
Structure: relaxed

- Crystal system: cubic
- DOS(E_F): 7.123 states/eV/cell
- VASP energy: -3.19 eV/atom
- Symmetry: F-43m, No. 216

abc: 5.9295 5.9295 5.9295
angles: 60.00 60.00 60.00
With the nearest neighbours (Å) after each atom.
Positions (direct):
Ba: 0.0000 0.0000 0.0000  12 Al 3.47, 4 Cl 3.63
Al: 0.3742 0.3742 0.3742  6 Al 2.95-2.98
Al: 0.3742 0.3742 0.8775  6 Al 2.95-2.98
Al: 0.3742 0.8775 0.3742  6 Al 2.95-2.98
Al: 0.8775 0.3742 0.3742  6 Al 2.95-2.98
Cl: 0.7500 0.7500 0.7500  12 Al 3.48, 4 Ba 3.63



What did the second record say?
Compound: BaAl4Cl
Source: Alexandria
Functional: PBE
Structure: relaxed

- Crystal system: cubic
- DOS(E_F): 7.123 states/eV/cell
- VASP energy: -3.19 eV/atom
- Symmetry: F-43m, No. 216

abc: 5.9295 5.9295 5.9295
angles: 60.00 60.00 60.00
With the nearest neighbours (Å) after each atom.
Positions (direct):
Ba: 0.0000 0.0000 0.0000  12 Al 3.47, 4 Cl 3.63
Al: 0.3742 0.3742 0.3742  6 Al 2.95-2.98
Al: 0.3742 0.3742 0.8775  6 Al 2.95-2.98
Al: 0.3742 0.8775 0.3742  6 Al 2.95-2.98
Al: 0.8775 0.3742 0.3742  6 Al 2.95-2.98
Cl: 0.7500 0.7500 0.7500  12 Al 3.48, 4 Ba 3.63



Q: Which value of DOS(E_F) does entry 2 give?
A: 7.123 states/eV/cell